[1]
Material: Cu2SbAu2
Method: DFT, PBE
State: optimized geometry

Cell: 7.6364 7.6364 2.9956 Å, 90.00 90.00 90.00°
Sites, in units of the cell vectors:
Sb: 0.0000 0.0000 0.0000
Sb: 0.5000 0.5000 0.0000
Cu: 0.1579 0.6579 0.5000
Cu: 0.8421 0.3421 0.5000
Cu: 0.3421 0.1579 0.5000
Cu: 0.6579 0.8421 0.5000
Au: 0.6373 0.1373 0.0000
Au: 0.1373 0.3627 0.0000
Au: 0.8627 0.6373 0.0000
Au: 0.3627 0.8627 0.0000

Computed properties:
Energy above the lowest structure with this stoichiometry (meV per atom): 0
Symmetry: P4/mbm (127)

***

[2]
Material: CuSbAu2
Method: DFT, PBE
State: optimized geometry

Cell: 5.5762 5.5762 5.5762 Å, 45.00 45.00 45.00°
Sites, in units of the cell vectors:
Sb: 0.7500 0.7500 0.7500
Au: 0.9804 0.9804 0.9804
Au: 0.5196 0.5196 0.5196
Cu: 0.2500 0.2500 0.2500

Computed properties:
Symmetry: R-3m (166)

***

[3]
Material: CuSb4Au
Method: DFT, PBE
State: optimized geometry

Cell: 6.6207 6.6392 6.6469 Å, 90.00 90.00 90.00°
Sites, in units of the cell vectors:
Sb: 0.6211 0.1197 0.8623
Sb: 0.3789 0.8803 0.1377
Sb: 0.6316 0.6330 0.6180
Sb: 0.3684 0.3670 0.3820
Sb: 0.1316 0.8670 0.6180
Sb: 0.1211 0.3803 0.8623
Sb: 0.8789 0.6197 0.1377
Sb: 0.8684 0.1330 0.3820
Au: 0.0000 0.0000 0.0000
Au: 0.5000 0.5000 0.0000
Cu: 0.5000 0.0000 0.5000
Cu: 0.0000 0.5000 0.5000

Computed properties:
Energy above the lowest structure with this stoichiometry (meV per atom): 0
Symmetry: P2_1/c (14)

***

The following formation energy from raw total energies values (in kJ per mole of atoms) correspond, in order, to the records above: 4, 6, 0.